VASP calculation (GGA+U) on crystalline TmAlV2O8 at its relaxed geometry.

Space group: No. 119
Total DFT energy (no corrections), eV for the cell shown: -90.82

abc: 5.718 5.718 5.718
angles: 107.49 107.49 113.51
Atoms (fractional coordinates):
O1 0.934 0.245 0.311
O2 0.934 0.622 0.689
O3 0.755 0.066 0.689
O4 0.878 0.672 0.206
O5 0.466 0.672 0.794
O6 0.328 0.534 0.206
O7 0.328 0.122 0.794
O8 0.378 0.066 0.311
V1 0.500 0.500 0.000
V2 0.750 0.250 0.500
Tm1 0.000 0.000 0.000
Al1 0.250 0.750 0.500